No. 1
# TbPu4Se5 GGA-PBE relaxed
# Energy relative to the elements, uncorrected: -1.59 eV/atom
# Volume: 501.3 Å³ per cell
data_TbPu4Se5
_space_group_name_H-M_alt 'I m m m'
_space_group_IT_number 71
_space_group_name_Hall '-I 2 2'
_cell_length_a 4.141
_cell_length_b 5.855
_cell_length_c 20.680
_cell_angle_alpha 90.00
_cell_angle_beta 90.00
_cell_angle_gamma 90.00
loop_
_atom_site_label
_atom_site_type_symbol
_atom_site_fract_x
_atom_site_fract_y
_atom_site_fract_z
_atom_site_occupancy
Tb1 Tb 0.000 0.000 0.000 1
Pu1 Pu 0.000 0.000 0.199 1
Pu2 Pu 0.000 0.000 0.401 1
Se1 Se 0.000 0.500 0.000 1
Se2 Se 0.000 0.500 0.200 1
Se3 Se 0.000 0.500 0.401 1

No. 2
# Tb4PuSe7 GGA-PBE relaxed
# Energy relative to the elements, uncorrected: -1.79 eV/atom
# Volume: 641.9 Å³ per cell
data_Tb4PuSe7
_space_group_name_H-M_alt 'C 1 m 1'
_space_group_IT_number 8
_cell_length_a 13.459
_cell_length_b 4.007
_cell_length_c 12.296
_cell_angle_alpha 90.00
_cell_angle_beta 104.52
_cell_angle_gamma 90.00
loop_
_space_group_symop_operation_xyz
'x,y,z'
'x,-y,z'
'x+1/2,y+1/2,z'
'x+1/2,-y+1/2,z'
loop_
_atom_site_label
_atom_site_type_symbol
_atom_site_fract_x
_atom_site_fract_y
_atom_site_fract_z
_atom_site_occupancy
Tb1 Tb 0.000 0.000 0.000 1
Tb2 Tb 0.082 0.500 0.387 1
Tb3 Tb 0.186 0.000 0.767 1
Tb4 Tb 0.384 0.500 0.578 1
Pu1 Pu 0.267 0.500 0.154 1
Se1 Se 0.044 0.500 0.627 1
Se2 Se 0.122 0.500 0.923 1
Se3 Se 0.141 0.000 0.228 1
Se4 Se 0.225 0.000 0.528 1
Se5 Se 0.344 0.500 0.793 1
Se6 Se 0.384 0.000 0.073 1
Se7 Se 0.425 0.500 0.364 1

No. 3
# Tb3Pu5Se8 GGA-PBE relaxed
# Energy relative to the elements, uncorrected: -1.65 eV/atom
# Volume: 1194.0 Å³ per cell
data_Tb3Pu5Se8
_space_group_name_H-M_alt 'R -3 m'
_space_group_IT_number 166
_space_group_name_Hall '-R 3 2"'
_cell_length_a 8.2474
_cell_length_b 8.2474
_cell_length_c 20.2694
_cell_angle_alpha 90.00
_cell_angle_beta 90.00
_cell_angle_gamma 120.00
loop_
_atom_site_label
_atom_site_type_symbol
_atom_site_fract_x
_atom_site_fract_y
_atom_site_fract_z
_atom_site_occupancy
Tb1 Tb 0.0000 0.5000 0.0000 1
Pu1 Pu 0.0000 0.0000 0.0000 1
Pu2 Pu 0.0000 0.0000 0.5000 1
Pu3 Pu 0.0000 0.5000 0.5000 1
Se1 Se 0.0000 0.0000 0.2513 1
Se2 Se 0.0013 0.5006 0.2506 1

No. 4
# TbPu5Se6 GGA-PBE relaxed
# Energy relative to the elements, uncorrected: -1.58 eV/atom
# Volume: 602.4 Å³ per cell
data_TbPu5Se6
_space_group_name_H-M_alt 'C 1 2/m 1'
_space_group_IT_number 12
_cell_length_a 7.174
_cell_length_b 12.419
_cell_length_c 7.171
_cell_angle_alpha 90.00
_cell_angle_beta 109.46
_cell_angle_gamma 90.00
loop_
_space_group_symop_operation_xyz
'x,y,z'
'-x,-y,-z'
'-x,y,-z'
'x,-y,z'
'x+1/2,y+1/2,z'
'-x+1/2,-y+1/2,-z'
'-x+1/2,y+1/2,-z'
'x+1/2,-y+1/2,z'
loop_
_atom_site_label
_atom_site_type_symbol
_atom_site_fract_x
_atom_site_fract_y
_atom_site_fract_z
_atom_site_occupancy
Tb1 Tb 0.000 0.000 0.000 1
Pu1 Pu 0.000 0.167 0.500 1
Pu2 Pu 0.000 0.334 0.000 1
Pu3 Pu 0.000 0.500 0.500 1
Se1 Se 0.249 0.000 0.750 1
Se2 Se 0.249 0.166 0.249 1